[1]
PaCoSn | GGA-PBE | optimized geometry

Its total magnetic moment is 0.0 μB/f.u. As for the formation energy: -33.5 kJ/mol of atoms.

The structure belongs to space group P2_1/m (No. 11); the cell edges are 4.7066, 4.3796 and 6.1253 Å and the angles 90.00°, 103.44° and 90.00°. The inequivalent atoms are Pa at (0.0841, 0.2500, 0.2680), Co at (0.3522, 0.7500, 0.5536) and Sn at (0.4338, 0.2500, 0.8178).

***

[2]
Pa2TaAl | GGA-PBE | optimized geometry

Its total magnetic moment is 0.0 μB/f.u. As for the formation energy: 13.9 kJ/mol of atoms. Its distance to the lowest polymorph of the same formula is 0.181 eV/atom.

The structure belongs to space group P4/mmm (No. 123); the cell edges are 3.7759, 3.7759 and 6.2643 Å and the angles 90.00°, 90.00° and 90.00°. The inequivalent atoms are Pa at (0.0000, 0.0000, 0.2323), Ta at (0.5000, 0.5000, 0.5000) and Al at (0.5000, 0.5000, 0.0000).

***

[3]
HfCu2Tc2 | GGA-PBE | optimized geometry

Its total magnetic moment is 0.0 μB/f.u. As for the formation energy: 21.7 kJ/mol of atoms. Its distance to the lowest polymorph of the same formula is 0.126 eV/atom.

The structure belongs to space group P4/mbm (No. 127); the cell edges are 7.3634, 7.3634 and 2.8117 Å and the angles 90.00°, 90.00° and 90.00°. The inequivalent atoms are Hf at (0.0000, 0.0000, 0.0000), Cu at (0.1797, 0.3203, 0.5000) and Tc at (0.1151, 0.6151, 0.0000).

***

[4]
HoEr2Cd | GGA-PBE | optimized geometry

Its total magnetic moment is 0.0 μB/f.u. As for the formation energy: -0.5 kJ/mol of atoms. Its distance to the lowest polymorph of the same formula is 0.140 eV/atom.

The structure belongs to space group Fm-3m (No. 225); the cell edges are 7.6310, 7.6310 and 7.6310 Å and the angles 90.00°, 90.00° and 90.00°. The inequivalent atoms are Ho at (0.0000, 0.0000, 0.0000), Er at (0.2500, 0.2500, 0.2500) and Cd at (0.0000, 0.0000, 0.5000).

***

[5]
Zr2BeAl2 | GGA-PBE | optimized geometry

Its total magnetic moment is 0.0 μB/f.u. As for the formation energy: -24.4 kJ/mol of atoms. Its distance to the lowest polymorph of the same formula is 0.000 eV/atom.

The structure belongs to space group P4/mbm (No. 127); the cell edges are 6.4205, 6.4205 and 4.3584 Å and the angles 90.00°, 90.00° and 90.00°. The inequivalent atoms are Zr at (0.1676, 0.3324, 0.0000), Be at (0.0000, 0.0000, 0.5000) and Al at (0.1409, 0.6409, 0.5000).

***

[6]
AcPmNiBi | GGA-PBE | optimized geometry

Its total magnetic moment is 0.7 μB/f.u. As for the formation energy: -26.1 kJ/mol of atoms.

The structure belongs to space group F-43m (No. 216); the cell edges are 7.7501, 7.7501 and 7.7501 Å and the angles 90.00°, 90.00° and 90.00°. The inequivalent atoms are Ac at (0.0000, 0.0000, 0.0000), Pm at (0.0000, 0.0000, 0.5000), Ni at (0.2500, 0.2500, 0.7500) and Bi at (0.2500, 0.2500, 0.2500).

***

[7]
TiNb2BiBr | GGA-PBE | optimized geometry

Its total magnetic moment is 0.0 μB/f.u. Its uncorrected formation energy is 0.788 eV per atom.

The structure belongs to space group P4/mmm (No. 123); the cell edges are 4.8343, 4.8343 and 4.6689 Å and the angles 90.00°, 90.00° and 90.00°. The inequivalent atoms are Ti at (0.0000, 0.0000, 0.0000), Nb at (0.0000, 0.5000, 0.5000), Bi at (0.5000, 0.5000, 0.0000) and Br at (0.0000, 0.0000, 0.5000).

***

[8]
BaBiSbPd3 | GGA-PBE | optimized geometry

Its total magnetic moment is 0.0 μB/f.u. Its uncorrected formation energy is -0.466 eV per atom.

The structure belongs to space group Cmcm (No. 63); the cell edges are 6.6432, 16.0500 and 6.4431 Å and the angles 90.00°, 90.00° and 90.00°. The inequivalent atoms are Ba at (0.0000, 0.2065, 0.2500), Bi at (0.0000, 0.4186, 0.7500), Sb at (0.0000, 0.0912, 0.7500), Pd at (0.0000, 0.2516, 0.7500) and Pd at (0.2256, 0.0000, 0.0000).